a.
First-principles (PBE) data for a relaxed structure of Mg2Be2Cu, as listed in Alexandria via LeMat-Bulk.

Computed properties:
- ρ (g cm⁻³) = 2.98

```
Mg2Be2Cu
1.0
-2.305 -1.273 1.337
1.684 -0.572 2.358
-2.441 6.395 5.143
Be Mg Cu
2 2 1
Cartesian
-2.528 2.099 4.164
-0.534 2.450 4.675
-0.765 0.637 2.550
-2.297 3.912 6.288
0.000 0.000 0.000
```

b.
First-principles (PBE) data for a relaxed structure of Mg2Be2Cu, as listed in Alexandria via LeMat-Bulk.

Computed properties:
- ρ (g cm⁻³) = 2.87

```
Mg2Be2Cu
1.0
7.406 0.000 0.000
0.000 7.406 0.000
0.000 0.000 2.746
Be Mg Cu
4 4 2
Cartesian
0.763 4.466 1.373
4.466 6.643 1.373
6.643 2.940 1.373
2.940 0.763 1.373
2.329 6.032 0.000
6.032 5.077 0.000
5.077 1.374 0.000
1.374 2.329 0.000
0.000 0.000 0.000
3.703 3.703 0.000
```

Result of the stability comparison: b is the least stable of them.

a.
First-principles (PBE) data for a relaxed structure of MgBeCu, as listed in Alexandria via LeMat-Bulk.

Computed properties:
- ρ (g cm⁻³) = 3.96

```
MgBeCu
1.0
4.047 0.000 0.000
-2.023 3.505 0.000
0.000 0.000 2.866
Be Mg Cu
1 1 1
Cartesian
0.000 0.000 0.478
0.000 2.336 1.910
2.023 1.168 0.477
```

b.
First-principles (PBE) data for a relaxed structure of MgBeCu, as listed in Alexandria via LeMat-Bulk.

Computed properties:
- ρ (g cm⁻³) = 3.91

```
MgBeCu
1.0
-1.853 1.487 1.413
1.425 -2.000 1.269
4.423 4.098 1.490
Be Mg Cu
1 1 1
Cartesian
0.123 0.114 0.041
3.296 1.908 2.315
0.577 1.563 1.815
```

c.
First-principles (PBE) data for a relaxed structure of MgBeCu, as listed in Alexandria via LeMat-Bulk.

Computed properties:
- ρ (g cm⁻³) = 3.39

```
MgBeCu
1.0
-2.443 -3.092 0.985
0.942 -2.416 3.126
-2.192 0.152 3.417
Be Mg Cu
1 1 1
Cartesian
-1.846 -2.678 3.764
0.000 0.000 0.000
-2.770 -4.017 5.646
```

d.
First-principles (PBE) data for a relaxed structure of MgBeCu, as listed in Alexandria via LeMat-Bulk.

Computed properties:
- ρ (g cm⁻³) = 4.14

```
MgBeCu
1.0
-2.713 3.876 0.565
-2.032 -4.235 0.803
-1.431 1.333 4.345
Mg Cu Be
2 2 2
Cartesian
-4.348 -0.284 2.765
-1.828 1.258 2.948
-1.357 1.938 0.282
-1.016 -2.117 0.402
-1.732 -1.451 2.574
-2.373 -0.179 0.684
```

Result of the stability comparison: c is the least stable of them.

a.
First-principles (PBE) data for a relaxed structure of Be3CuMo, as listed in Alexandria via LeMat-Bulk.

Computed properties:
- ρ (g cm⁻³) = 5.35

```
Be3CuMo
1.0
3.869 0.000 0.000
0.000 3.869 0.000
0.000 0.000 3.869
Be Mo Cu
3 1 1
Cartesian
0.000 1.934 0.000
0.000 0.000 1.934
1.934 0.000 0.000
1.934 1.934 1.934
0.000 0.000 0.000
```

b.
First-principles (PBE) data for a relaxed structure of Be3CuMo, as listed in Alexandria via LeMat-Bulk.

Computed properties:
- ρ (g cm⁻³) = 4.07

```
Be3CuMo
1.0
-2.717 2.710 1.794
-1.395 -3.084 2.547
2.935 1.043 2.871
Be Mo Cu
3 1 1
Cartesian
-0.697 -1.542 1.274
1.468 0.522 1.435
-1.359 1.355 0.897
0.000 0.000 0.000
-0.588 0.335 3.606
```

Result of the stability comparison: b is the least stable of them.

a.
First-principles (PBE) data for a relaxed structure of BeCu2N, as listed in Alexandria via LeMat-Bulk.

Computed properties:
- ρ (g cm⁻³) = 4.85

```
BeCu2N
1.0
4.319 0.000 0.000
0.000 4.319 0.000
2.159 2.159 5.513
Be Cu N
2 4 2
Cartesian
2.159 2.159 0.000
2.159 4.319 2.756
3.646 1.080 1.378
0.673 3.239 1.378
3.239 2.832 4.135
5.398 5.805 4.135
0.000 0.000 0.000
4.319 2.159 2.756
```

b.
First-principles (PBE) data for a relaxed structure of BeCu2N, as listed in Alexandria via LeMat-Bulk.

Computed properties:
- ρ (g cm⁻³) = 6.55

```
BeCu2N
1.0
-2.859 -1.421 2.015
-2.020 2.252 2.258
-3.561 0.872 -0.900
Be Cu N
1 2 1
Cartesian
0.000 0.000 0.000
-2.110 0.426 0.843
-6.330 1.278 2.529
-4.220 0.852 1.686
```

Result of the stability comparison: a is the least stable of them.

a.
First-principles (PBE) data for a relaxed structure of BeCuTeN2, as listed in Alexandria via LeMat-Bulk.

Computed properties:
- ρ (g cm⁻³) = 4.26

```
BeCuTeN2
1.0
-1.213 -2.461 2.450
2.075 -2.594 -1.579
4.972 1.537 4.006
Be Te Cu N
1 1 1 2
Cartesian
2.917 -1.759 2.438
2.486 0.769 2.003
0.000 0.000 0.000
1.037 -1.297 -0.790
-0.606 -1.231 1.225
```

b.
First-principles (PBE) data for a relaxed structure of BeCuTeN2, as listed in Alexandria via LeMat-Bulk.

Computed properties:
- ρ (g cm⁻³) = 5.31

```
BeCuTeN2
1.0
-3.516 0.132 -0.183
-0.215 -2.825 2.095
-0.111 3.425 4.607
Be Te Cu N
1 1 1 2
Cartesian
0.000 0.000 0.000
-0.055 1.713 2.304
-1.921 0.366 3.260
-0.108 -1.412 1.048
-1.758 0.066 -0.091
```

Result of the stability comparison: a is the least stable of them.

a.
First-principles (PBE) data for a relaxed structure of NaBe2Cu2, as listed in Alexandria via LeMat-Bulk.

Computed properties:
- ρ (g cm⁻³) = 4.06

```
NaBe2Cu2
1.0
-0.500 2.280 -2.691
-0.979 -2.701 -2.106
-5.889 0.465 -0.870
Na Cu Be
1 2 2
Cartesian
0.000 0.000 0.000
-1.972 -0.049 -2.033
-5.396 0.093 -3.634
-3.564 1.267 -2.980
-3.804 -1.223 -2.687
```

b.
First-principles (PBE) data for a relaxed structure of NaBe2Cu2, as listed in Alexandria via LeMat-Bulk.

Computed properties:
- ρ (g cm⁻³) = 4.59

```
NaBe2Cu2
1.0
6.990 0.000 0.000
0.000 6.990 0.000
0.000 0.000 2.491
Na Cu Be
2 4 4
Cartesian
0.000 0.000 0.000
3.495 3.495 0.000
1.219 4.714 1.245
4.714 5.771 1.245
5.771 2.276 1.245
2.276 1.219 1.245
2.703 6.198 0.000
6.198 4.287 0.000
4.287 0.792 0.000
0.792 2.703 0.000
```

Result of the stability comparison: a is the least stable of them.